[1]
Pa4FeI5 | PBE | optimized geometry

Unit cell a=9.406 b=9.406 c=9.038 alpha=100.33 beta=100.33 gamma=23.70
Atoms (fractional coordinates):
Pa 0.002 0.002 0.316
Pa 0.344 0.344 0.446
Pa 0.656 0.656 0.554
Pa 0.998 0.998 0.684
Fe 0.500 0.500 0.500
I 0.166 0.166 0.836
I 0.172 0.172 0.286
I 0.500 0.500 0.000
I 0.828 0.828 0.714
I 0.834 0.834 0.164

Density of states at the Fermi level   12.7 states/eV/f.u.
Symmetry   No. 12
E_form (uncorrected)   -535 meV/atom
Energy   -59.55 eV for the cell shown
Total moment   0.2042 μB per atom


[2]
Re2Bi2F | PBE | optimized geometry

Unit cell a=5.276 b=5.276 c=5.276 alpha=116.26 beta=116.26 gamma=96.61
Atoms (fractional coordinates):
Re 0.159 0.159 0.000
Re 0.841 0.841 0.000
Bi 0.250 0.750 0.500
Bi 0.750 0.250 0.500
F 0.500 0.500 0.000

Density of states at the Fermi level   4.2 states/eV/f.u.
Symmetry   No. 139
E_form (uncorrected)   276 meV/atom
Energy   -33.15 eV for the cell shown
Distance to the lowest polymorph of the same formula   0 meV/atom
Total moment   0.1288 μB per atom


[3]
PrGa2SiPd4 | PBE | optimized geometry

Unit cell a=9.139 b=9.139 c=9.139 alpha=27.36 beta=27.36 gamma=27.36
Atoms (fractional coordinates):
Pr 0.000 0.000 0.000
Ga 0.250 0.250 0.250
Ga 0.750 0.750 0.750
Si 0.500 0.500 0.500
Pd 0.139 0.139 0.139
Pd 0.409 0.409 0.409
Pd 0.591 0.591 0.591
Pd 0.861 0.861 0.861

Density of states at the Fermi level   6.0 states/eV/f.u.
Symmetry   No. 166
E_form (uncorrected)   -676 meV/atom
Energy   -42.44 eV for the cell shown
Total moment   0.0000 μB per atom


[4]
CaCo2W | PBE | optimized geometry

Unit cell a=4.376 b=4.376 c=4.376 alpha=60.00 beta=60.00 gamma=60.00
Atoms (fractional coordinates):
Ca 0.000 0.000 0.000
Co 0.250 0.250 0.250
Co 0.500 0.500 0.500
W 0.750 0.750 0.750

Density of states at the Fermi level   5.5 states/eV/f.u.
Symmetry   No. 216
Energy   -25.59 eV for the cell shown
Distance to the lowest polymorph of the same formula   701 meV/atom
Total moment   0.4518 μB per atom


[5]
TlSi2Se | PBE | optimized geometry

Unit cell a=6.176 b=6.176 c=6.176 alpha=142.27 beta=142.27 gamma=54.43
Atoms (fractional coordinates):
Tl 0.000 0.000 0.000
Si 0.500 0.500 0.000
Si 0.750 0.250 0.500
Se 0.250 0.750 0.500

Density of states at the Fermi level   2.4 states/eV/f.u.
Symmetry   No. 119
E_form (uncorrected)   586 meV/atom
Energy   -14.35 eV for the cell shown
Distance to the lowest polymorph of the same formula   442 meV/atom
Total moment   0.0000 μB per atom


[6]
Ac5Pd2RhN | PBE | optimized geometry

Unit cell a=9.625 b=9.625 c=13.353 alpha=90.00 beta=90.00 gamma=154.03
Atoms (fractional coordinates):
Ac 0.005 0.995 0.500
Ac 0.148 0.852 0.745
Ac 0.180 0.820 0.113
Ac 0.210 0.790 0.417
Ac 0.464 0.536 0.744
Ac 0.536 0.464 0.244
Ac 0.790 0.210 0.917
Ac 0.820 0.180 0.613
Ac 0.852 0.148 0.245
Ac 0.995 0.005 0.000
Pd 0.372 0.628 0.063
Pd 0.389 0.611 0.415
Pd 0.611 0.389 0.915
Pd 0.628 0.372 0.563
Rh 0.301 0.699 0.767
Rh 0.699 0.301 0.267
N 0.049 0.951 0.157
N 0.951 0.049 0.657

Density of states at the Fermi level   4.5 states/eV/f.u.
Symmetry   No. 36
E_form (uncorrected)   -761 meV/atom
Energy   -106.91 eV for the cell shown
Total moment   0.0000 μB per atom


[7]
LiYInSn | PBE | optimized geometry

Unit cell a=4.434 b=4.523 c=4.680 alpha=90.00 beta=90.00 gamma=90.00
Atoms (fractional coordinates):
Li 0.000 0.000 0.000
Y 0.000 0.500 0.500
In 0.500 0.500 0.000
Sn 0.500 0.000 0.500

Density of states at the Fermi level   1.5 states/eV/f.u.
Symmetry   No. 47
Energy   -17.20 eV for the cell shown
Total moment   0.0000 μB per atom


[8]
LiAg8Au6 | PBE | optimized geometry

Unit cell a=7.232 b=7.232 c=7.232 alpha=60.38 beta=60.38 gamma=60.38
Atoms (fractional coordinates):
Li 0.000 0.000 0.000
Ag 0.117 0.664 0.813
Ag 0.187 0.883 0.336
Ag 0.336 0.187 0.883
Ag 0.420 0.420 0.420
Ag 0.580 0.580 0.580
Ag 0.664 0.813 0.117
Ag 0.813 0.117 0.664
Ag 0.883 0.336 0.187
Au 0.059 0.557 0.267
Au 0.267 0.059 0.557
Au 0.443 0.733 0.941
Au 0.557 0.267 0.059
Au 0.733 0.941 0.443
Au 0.941 0.443 0.733

Density of states at the Fermi level   4.8 states/eV/f.u.
Symmetry   No. 148
Energy   -45.05 eV for the cell shown
Distance to the lowest polymorph of the same formula   0 meV/atom
Total moment   0.0000 μB per atom


Question: total moment of number 5 (TlSi2Se)?
Answer: 0.0000 μB per atom